Record 1
A relaxed Tb4Ho3Er crystal. Source: the Alexandria database, functional PBE.

abc: 6.2546 7.2327 11.2012
angles: 90.00 90.00 90.00
Closest atoms and distances in Å follow each position.
Element x y z (fractional)
Tb 0.1477 0.8738 0.5000  6 Tb 3.49-3.62, 4 Ho 3.49-3.63, 2 Er 3.61-3.62
Tb 0.6479 0.1258 0.5000  6 Tb 3.49-3.62, 4 Ho 3.49-3.61, 2 Er 3.60-3.63
Tb 0.6477 0.1262 0.0000  6 Tb 3.49-3.62, 4 Ho 3.49-3.63, 2 Er 3.61-3.62
Ho 0.1478 0.3761 0.5000  4 Ho 3.49, 6 Tb 3.49-3.63, 2 Er 3.60-3.61
Er 0.6482 0.6238 0.5000  6 Ho 3.48-3.61, 6 Tb 3.49-3.63
Tb 0.9811 0.1261 0.2498  6 Tb 3.49-3.62, 1 Er 3.49, 5 Ho 3.49-3.63
Er 0.1482 0.3762 0.0000  6 Ho 3.48-3.61, 6 Tb 3.49-3.63
Ho 0.9807 0.6239 0.7501  2 Er 3.48-3.49, 4 Ho 3.49-3.60, 6 Tb 3.49-3.63
Ho 0.4807 0.3761 0.7499  2 Er 3.48-3.49, 4 Ho 3.49-3.60, 6 Tb 3.49-3.63
Ho 0.4807 0.3761 0.2501  2 Er 3.48-3.49, 4 Ho 3.49-3.60, 6 Tb 3.49-3.63
Ho 0.9807 0.6239 0.2499  2 Er 3.48-3.49, 4 Ho 3.49-3.60, 6 Tb 3.49-3.63
Tb 0.4811 0.8739 0.7498  6 Tb 3.49-3.62, 1 Er 3.49, 5 Ho 3.49-3.63
Tb 0.4811 0.8739 0.2502  6 Tb 3.49-3.62, 1 Er 3.49, 5 Ho 3.49-3.63
Ho 0.6478 0.6239 0.0000  4 Ho 3.49, 6 Tb 3.49-3.63, 2 Er 3.60-3.61
Tb 0.1479 0.8742 0.0000  6 Tb 3.49-3.62, 4 Ho 3.49-3.61, 2 Er 3.60-3.63
Tb 0.9811 0.1261 0.7502  6 Tb 3.49-3.62, 1 Er 3.49, 5 Ho 3.49-3.63

Total moment in μB per formula unit: 0.00
Final energy in eV/cell: -73.5
E above lowest polymorph in meV per atom: 0
Formation enthalpy at 0 K in eV per atom: 0.01

Record 2
A relaxed Tb2Ho7Er3 crystal. Source: the Alexandria database, functional PBE.

abc: 3.4809 6.2611 17.6842
angles: 75.57 90.00 90.00
Closest atoms and distances in Å follow each position.
Element x y z (fractional)
Ho 0.0000 0.0000 0.0000  8 Ho 3.48-3.54, 4 Er 3.58
Tb 0.5000 0.3877 0.6730  5 Ho 3.36-3.44, 2 Tb 3.48, 4 Er 3.56-3.63
Ho 0.5000 0.2429 0.5016  2 Ho 3.06-3.21, 2 Tb 3.36-3.37
Ho 0.0000 0.5606 0.1650  2 Tb 3.44, 7 Ho 3.48-3.58, 3 Er 3.50-3.67
Er 0.5000 0.5000 0.0000  2 Er 3.48, 10 Ho 3.50-3.58
Ho 0.0000 0.4394 0.8350  2 Tb 3.44, 7 Ho 3.48-3.58, 3 Er 3.50-3.67
Ho 0.5000 0.9416 0.8322  1 Tb 3.44, 8 Ho 3.48-3.58, 3 Er 3.52-3.62
Tb 0.5000 0.6123 0.3270  5 Ho 3.36-3.44, 2 Tb 3.48, 4 Er 3.56-3.63
Er 0.0000 0.8921 0.6576  2 Er 3.48, 7 Ho 3.53-3.67, 4 Tb 3.56-3.63
Er 0.0000 0.1079 0.3424  2 Er 3.48, 7 Ho 3.53-3.67, 4 Tb 3.56-3.63
Ho 0.5000 0.7571 0.4984  2 Ho 3.06-3.21, 2 Tb 3.36-3.37
Ho 0.5000 0.0584 0.1678  1 Tb 3.44, 8 Ho 3.48-3.58, 3 Er 3.52-3.62

Total moment in μB per formula unit: 0.00
Final energy in eV/cell: -54.1
E above lowest polymorph in meV per atom: 0
Formation enthalpy at 0 K in eV per atom: 0.08

Record 3
A relaxed Tb8HoEr2 crystal. Source: the Alexandria database, functional PBE.

abc: 6.6017 10.1327 10.1327
angles: 38.14 59.59 59.59
Closest atoms and distances in Å follow each position.
Element x y z (fractional)
Er 0.4005 0.2009 0.2009  7 Tb 3.32-3.62
Tb 0.1744 0.7560 0.7560  5 Tb 3.24-3.42, 4 Er 3.32-3.55
Tb 0.2733 0.4095 0.4095  8 Tb 3.31-3.67, 1 Er 3.62
Tb 0.8256 0.2440 0.2440  5 Tb 3.24-3.42, 4 Er 3.32-3.55
Tb 0.7267 0.5905 0.5905  8 Tb 3.31-3.67, 1 Er 3.62
Er 0.5995 0.7991 0.7991  7 Tb 3.32-3.62
Tb 0.2281 0.8258 0.3504  5 Tb 3.15-3.47, 1 Ho 3.29, 1 Er 3.41
Tb 0.7719 0.6496 0.1742  5 Tb 3.15-3.47, 1 Ho 3.29, 1 Er 3.41
Tb 0.2281 0.3504 0.8258  5 Tb 3.15-3.47, 1 Ho 3.29, 1 Er 3.41
Tb 0.7719 0.1742 0.6496  5 Tb 3.15-3.47, 1 Ho 3.29, 1 Er 3.41
Ho 0.0000 0.0000 0.0000  4 Tb 3.29

Total moment in μB per formula unit: 0.00
Final energy in eV/cell: -48.8
E above lowest polymorph in meV per atom: 0
Formation enthalpy at 0 K in eV per atom: 0.18

Record 4
A relaxed Tb2Ho7Er2 crystal. Source: the Alexandria database, functional PBE.

abc: 8.5728 6.4322 6.4322
angles: 93.07 82.29 82.29
Closest atoms and distances in Å follow each position.
Element x y z (fractional)
Ho 0.5924 0.1512 0.1512  6 Ho 3.37-3.67, 1 Er 3.42, 4 Tb 3.45
Ho 0.4076 0.8488 0.8488  6 Ho 3.37-3.67, 1 Er 3.42, 4 Tb 3.45
Ho 0.2082 0.0812 0.4465  2 Tb 3.34-3.56, 3 Er 3.37-3.46, 4 Ho 3.41-3.67
Tb 0.5000 0.6771 0.3229  1 Tb 3.31, 8 Ho 3.34-3.56, 2 Er 3.44
Ho 0.0000 0.0000 0.0000  2 Er 3.47, 10 Ho 3.49-3.86
Ho 0.7918 0.5535 0.9188  2 Tb 3.34-3.56, 3 Er 3.37-3.46, 4 Ho 3.41-3.67
Er 0.8561 0.3949 0.3949  1 Er 3.37, 8 Ho 3.37-3.47, 2 Tb 3.44
Er 0.1439 0.6051 0.6051  1 Er 3.37, 8 Ho 3.37-3.47, 2 Tb 3.44
Ho 0.2082 0.4465 0.0812  2 Tb 3.34-3.56, 3 Er 3.37-3.46, 4 Ho 3.41-3.67
Ho 0.7918 0.9188 0.5535  2 Tb 3.34-3.56, 3 Er 3.37-3.46, 4 Ho 3.41-3.67
Tb 0.5000 0.3229 0.6771  1 Tb 3.31, 8 Ho 3.34-3.56, 2 Er 3.44

Total moment in μB per formula unit: 0.00
Final energy in eV/cell: -49.2
E above lowest polymorph in meV per atom: 0
Formation enthalpy at 0 K in eV per atom: 0.12

Record 5
A relaxed Tb3Ho4Er5 crystal. Source: the Alexandria database, functional PBE.

abc: 5.8193 8.4362 9.5350
angles: 105.86 72.23 69.82
Closest atoms and distances in Å follow each position.
Element x y z (fractional)
Ho 0.8596 0.2215 0.0593  1 Ho 3.20, 1 Tb 3.35, 3 Er 3.38-3.50
Tb 0.4769 0.3142 0.7320  5 Er 3.04-3.40, 2 Ho 3.27-3.35
Tb 0.0000 0.5000 0.5000  2 Er 2.91
Er 0.7860 0.5412 0.8868  4 Tb 3.15-3.40, 3 Ho 3.38-3.50
Er 0.5000 0.5000 0.5000  4 Tb 2.91-3.04
Er 0.2140 0.4588 0.1132  4 Tb 3.15-3.40, 3 Ho 3.38-3.50
Ho 0.8338 0.9539 0.3786  3 Tb 3.27-3.49, 3 Ho 3.54-3.61, 3 Er 3.58-3.63
Ho 0.1662 0.0461 0.6214  3 Tb 3.27-3.49, 3 Ho 3.54-3.61, 3 Er 3.58-3.63
Tb 0.5231 0.6858 0.2680  5 Er 3.04-3.40, 2 Ho 3.27-3.35
Ho 0.1404 0.7785 0.9407  1 Ho 3.20, 1 Tb 3.35, 3 Er 3.38-3.50
Er 0.3745 0.0522 0.1988  2 Tb 3.22-3.44, 1 Er 3.35, 2 Ho 3.58
Er 0.6255 0.9478 0.8012  2 Tb 3.22-3.44, 1 Er 3.35, 2 Ho 3.58

Total moment in μB per formula unit: 0.45
Final energy in eV/cell: -52.0
E above lowest polymorph in meV per atom: 228
Formation enthalpy at 0 K in eV per atom: 0.25

Record 6
A relaxed Tb12HoEr6 crystal. Source: the Alexandria database, functional PBE.

abc: 9.0564 9.0564 9.0564
angles: 106.55 106.55 106.55
Closest atoms and distances in Å follow each position.
Element x y z (fractional)
Er 0.1879 0.4547 0.0764  9 Tb 3.31-3.69, 1 Er 3.71
Tb 0.8627 0.1730 0.7208  3 Tb 3.34-3.50, 5 Er 3.35-3.58, 1 Ho 3.46
Er 0.5453 0.9236 0.8121  9 Tb 3.31-3.69, 1 Er 3.71
Tb 0.4205 0.5173 0.8090  4 Er 3.31-3.69, 6 Tb 3.34-3.50
Ho 0.0000 0.0000 0.0000  6 Tb 3.46, 6 Er 3.75
Er 0.0764 0.1879 0.4547  9 Tb 3.31-3.69, 1 Er 3.71
Er 0.4547 0.0764 0.1879  9 Tb 3.31-3.69, 1 Er 3.71
Tb 0.1910 0.5795 0.4827  4 Er 3.31-3.69, 6 Tb 3.34-3.50
Tb 0.8090 0.4205 0.5173  4 Er 3.31-3.69, 6 Tb 3.34-3.50
Tb 0.2792 0.1373 0.8270  3 Tb 3.34-3.50, 5 Er 3.35-3.58, 1 Ho 3.46
Tb 0.1373 0.8270 0.2792  3 Tb 3.34-3.50, 5 Er 3.35-3.58, 1 Ho 3.46
Tb 0.5795 0.4827 0.1910  4 Er 3.31-3.69, 6 Tb 3.34-3.50
Tb 0.8270 0.2792 0.1373  3 Tb 3.34-3.50, 5 Er 3.35-3.58, 1 Ho 3.46
Tb 0.4827 0.1910 0.5795  4 Er 3.31-3.69, 6 Tb 3.34-3.50
Tb 0.7208 0.8627 0.1730  3 Tb 3.34-3.50, 5 Er 3.35-3.58, 1 Ho 3.46
Tb 0.5173 0.8090 0.4205  4 Er 3.31-3.69, 6 Tb 3.34-3.50
Er 0.8121 0.5453 0.9236  9 Tb 3.31-3.69, 1 Er 3.71
Er 0.9236 0.8121 0.5453  9 Tb 3.31-3.69, 1 Er 3.71
Tb 0.1730 0.7208 0.8627  3 Tb 3.34-3.50, 5 Er 3.35-3.58, 1 Ho 3.46

Total moment in μB per formula unit: 0.00
Final energy in eV/cell: -82.8
E above lowest polymorph in meV per atom: 96
Formation enthalpy at 0 K in eV per atom: 0.25

Record 7
A relaxed Tb3HoEr5 crystal. Source: the Alexandria database, functional PBE.

abc: 9.3998 9.3998 11.4496
angles: 52.77 52.77 73.56
Closest atoms and distances in Å follow each position.
Element x y z (fractional)
Tb 0.6581 0.6581 0.3636  2 Tb 3.16-3.38, 4 Er 3.20-3.52, 1 Ho 3.22
Tb 0.3023 0.3023 0.1883  1 Tb 2.99, 5 Er 3.17-3.34
Tb 0.0000 0.0000 0.0000  4 Er 2.92-3.12, 2 Ho 3.23
Er 0.1856 0.1856 0.0368  3 Tb 3.12-3.27, 3 Er 3.26-3.27, 1 Ho 3.31
Er 0.2597 0.7403 0.0000  1 Tb 2.92
Tb 0.3419 0.3419 0.6364  2 Tb 3.16-3.38, 4 Er 3.20-3.52, 1 Ho 3.22
Tb 0.6977 0.6977 0.8117  1 Tb 2.99, 5 Er 3.17-3.34
Er 0.5093 0.5093 0.7709  3 Tb 3.17-3.31, 3 Er 3.26-3.34, 1 Ho 3.40
Er 0.1528 0.6549 0.7495  3 Er 3.27-3.64, 2 Tb 3.44-3.52
Er 0.8472 0.3451 0.2505  3 Er 3.27-3.64, 2 Tb 3.44-3.52
Tb 0.0000 0.0000 0.5000  2 Tb 2.99, 2 Ho 3.20
Er 0.8144 0.8144 0.9632  3 Tb 3.12-3.27, 3 Er 3.26-3.27, 1 Ho 3.31
Er 0.6549 0.1528 0.7495  3 Er 3.27-3.64, 2 Tb 3.44-3.52
Ho 0.8515 0.8515 0.3985  4 Tb 3.20-3.35, 2 Er 3.31-3.40
Er 0.3451 0.8472 0.2505  3 Er 3.27-3.64, 2 Tb 3.44-3.52
Ho 0.1485 0.1485 0.6015  4 Tb 3.20-3.35, 2 Er 3.31-3.40
Er 0.7403 0.2597 0.0000  1 Tb 2.92
Er 0.4907 0.4907 0.2291  3 Tb 3.17-3.31, 3 Er 3.26-3.34, 1 Ho 3.40

Total moment in μB per formula unit: 0.00
Final energy in eV/cell: -72.9
Formation enthalpy at 0 K in eV per atom: 0.53

Record 8
A relaxed TbHo4Er crystal. Source: the Alexandria database, functional PBE.

abc: 3.5318 9.3410 11.3990
angles: 90.00 90.00 100.90
Closest atoms and distances in Å follow each position.
Element x y z (fractional)
Ho 0.9997 0.9993 0.7688  10 Ho 3.50-3.53, 2 Tb 3.54
Ho 0.8887 0.7775 0.0185  8 Ho 3.50-3.53, 2 Tb 3.50, 2 Er 3.53
Tb 0.3334 0.6667 0.2687  3 Er 3.50-3.51, 7 Ho 3.50-3.54, 2 Tb 3.53
Ho 0.1113 0.2225 0.5185  8 Ho 3.50-3.53, 2 Tb 3.50, 2 Er 3.53
Ho 0.4446 0.8891 0.5187  9 Ho 3.50-3.53, 1 Tb 3.50, 2 Er 3.53
Tb 0.6666 0.3333 0.7687  3 Er 3.50-3.51, 7 Ho 3.50-3.54, 2 Tb 3.53
Ho 0.6667 0.3333 0.2680  7 Ho 3.50-3.53, 3 Er 3.50-3.51, 2 Tb 3.53
Ho 0.5554 0.1109 0.0187  9 Ho 3.50-3.53, 1 Tb 3.50, 2 Er 3.53
Er 0.2222 0.4443 0.0183  3 Tb 3.50-3.51, 7 Ho 3.50-3.53, 2 Er 3.53
Ho 0.3333 0.6667 0.7680  7 Ho 3.50-3.53, 3 Er 3.50-3.51, 2 Tb 3.53
Er 0.7778 0.5557 0.5183  3 Tb 3.50-3.51, 7 Ho 3.50-3.53, 2 Er 3.53
Ho 0.0003 0.0007 0.2688  10 Ho 3.50-3.53, 2 Tb 3.54

Total moment in μB per formula unit: 0.00
Final energy in eV/cell: -55.0
E above lowest polymorph in meV per atom: 0
Formation enthalpy at 0 K in eV per atom: 0.00

Among the records above, which one has the highest final energy?
Tb8HoEr2